The following is a PBE calculation of a geometry-optimized Hf2PaZn6 structure, from Alexandria via LeMat-Bulk.

Output
Its calculated formation energy is -3.4 kcal/mol of atoms. For the density of states at the Fermi level, the calculation gives 8.20 states/eV/f.u. The space group is No. 191.

```
data_Hf2PaZn6
_chemical_formula_sum 'Hf2 Pa1 Zn6'
_cell_length_a 3.1157
_cell_length_b 7.6888
_cell_length_c 7.6888
_cell_angle_alpha 120.00
_cell_angle_beta 89.97
_cell_angle_gamma 90.00
_symmetry_space_group_name_H-M 'P 1'
_symmetry_Int_Tables_number 1
_symmetry_space_group_name_Hall 'P 1'
loop_
_atom_site_label
_atom_site_type_symbol
_atom_site_fract_x
_atom_site_fract_y
_atom_site_fract_z
Hf1 Hf 0.0002 0.3334 0.6668
Hf2 Hf 0.9998 0.6666 0.3332
Pa1 Pa 0.0000 0.0000 0.0000
Zn1 Zn 0.4998 0.3395 0.3396
Zn2 Zn 0.5002 0.6605 0.6604
Zn3 Zn 0.5002 0.9999 0.6604
Zn4 Zn 0.5000 0.6605 0.0000
Zn5 Zn 0.5000 0.3395 0.0000
Zn6 Zn 0.4998 0.0001 0.3396
```

The following is a PBE calculation of a geometry-optimized Hf3PaZn8 structure, from Alexandria via LeMat-Bulk.

Output
Its calculated formation energy is -3.5 kcal/mol of atoms. For the density of states at the Fermi level, the calculation gives 9.52 states/eV/f.u. The space group is No. 156.

```
data_Hf3PaZn8
_chemical_formula_sum 'Hf3 Pa1 Zn8'
_cell_length_a 5.3197
_cell_length_b 5.3197
_cell_length_c 8.3725
_cell_angle_alpha 90.00
_cell_angle_beta 90.00
_cell_angle_gamma 120.00
_symmetry_space_group_name_H-M 'P 1'
_symmetry_Int_Tables_number 1
_symmetry_space_group_name_Hall 'P 1'
loop_
_atom_site_label
_atom_site_type_symbol
_atom_site_fract_x
_atom_site_fract_y
_atom_site_fract_z
Hf1 Hf 0.6667 0.3333 0.4345
Hf2 Hf 0.6667 0.3333 0.0645
Hf3 Hf 0.0000 0.0000 0.9277
Pa1 Pa 0.0000 0.0000 0.5726
Zn1 Zn 0.3333 0.6667 0.4994
Zn2 Zn 0.3333 0.6667 0.0006
Zn3 Zn 0.5062 0.0123 0.7572
Zn4 Zn 0.5062 0.4938 0.7572
Zn5 Zn 0.9877 0.4938 0.7572
Zn6 Zn 0.1607 0.3213 0.2431
Zn7 Zn 0.1607 0.8393 0.2431
Zn8 Zn 0.6787 0.8393 0.2431
```

Q: Which of these has the lowest calculated formation energy?
A: Hf3PaZn8

Q: What is the calculated formation energy in the first record?
A: -3.4 kcal/mol of atoms

Q: Which value of calculated formation energy does entry 1 give?
A: -3.4 kcal/mol of atoms